(1)
Density functional theory data (GGA-PBE) for crystalline TbDy2ErIn2 at its relaxed geometry.

```
12
Lattice="5.1806 0.0000 0.0000 0.0000 9.7902 0.0000 0.0000 0.0000 6.7174" Properties=species:S:1:pos:R:3 pbc="T T T"
Tb 0.0000 0.3652 0.0000
Tb 0.0000 9.4250 3.3587
Dy 0.0000 3.1263 2.3599
Dy 0.0000 6.6639 5.7186
Dy 2.5903 4.5201 0.4734
Dy 2.5903 5.2701 3.8321
Er 2.5903 1.7887 4.8382
Er 2.5903 8.0015 1.4795
In 0.0000 3.4917 5.5400
In 0.0000 6.2985 2.1814
In 2.5903 1.3778 1.6670
In 2.5903 8.4125 5.0257
```

Computed properties:
Energy of formation: -0.357 eV per atom
Total magnetization: 0.0 μB per cell
Density: 8.6 g/cm³



(2)
Density functional theory data (GGA-PBE) for crystalline Xe at its relaxed geometry.

```
1
Lattice="0.0000 3.3623 3.3623 3.3623 0.0000 3.3623 3.3623 3.3623 0.0000" Properties=species:S:1:pos:R:3 pbc="T T T"
Xe 0.0000 0.0000 0.0000
```

Computed properties:
Energy of formation: 0.003 eV per atom
Total magnetization: 0.0 μB per cell
Density: 2.9 g/cm³



(3)
Density functional theory data (GGA-PBE) for crystalline RbBaPO2 at its relaxed geometry.

```
5
Lattice="4.9631 0.0000 0.0000 0.0000 4.9631 0.0000 0.0000 0.0000 5.4112" Properties=species:S:1:pos:R:3 pbc="T T T"
Rb 0.0000 0.0000 0.0000
Ba 2.4816 2.4816 2.7056
P 0.0000 0.0000 2.7056
O 0.0000 2.4816 0.0000
O 2.4816 0.0000 0.0000
```

Computed properties:
Raw formation energy: 0.0877 eV per atom
Total magnetization: 3.0 μB per cell
Density: 3.6 g/cm³



(4)
Density functional theory data (GGA-PBE) for crystalline DyTiGa2 at its relaxed geometry.

```
4
Lattice="4.9237 0.0000 0.0000 0.0000 4.9237 0.0000 0.0000 0.0000 3.2128" Properties=species:S:1:pos:R:3 pbc="T T T"
Dy 0.0000 0.0000 0.0000
Ti 2.4618 2.4618 0.0000
Ga 0.0000 2.4618 1.6064
Ga 2.4618 0.0000 1.6064
```

Computed properties:
Energy of formation: -0.310 eV per atom
Total magnetization: 0.0 μB per cell
Density: 7.5 g/cm³



(5)
Density functional theory data (GGA-PBE) for crystalline ScSiRu2C at its relaxed geometry.

```
10
Lattice="1.8114 -5.6351 0.0000 1.8114 5.6351 0.0000 0.0000 0.0000 7.0435" Properties=species:S:1:pos:R:3 pbc="T T T"
Sc 1.8114 5.1618 5.2826
Sc 1.8114 -5.1618 1.7609
Si 1.8114 2.9773 1.7609
Si 1.8114 -2.9773 5.2826
Ru 1.8114 1.8162 3.8972
Ru 1.8114 1.8162 6.6680
Ru 1.8114 -1.8162 0.3755
Ru 1.8114 -1.8162 3.1463
C 1.8114 0.0000 0.0000
C 1.8114 0.0000 3.5217
```

Computed properties:
Raw formation energy: -0.5157 eV per atom
Total magnetization: 0.0 μB per cell
Density: 6.6 g/cm³



(6)
Density functional theory data (GGA-PBE) for crystalline MnAlCd2Ni at its relaxed geometry.

```
5
Lattice="5.0546 0.0000 0.0000 0.0000 5.0546 0.0000 0.0000 0.0000 4.2196" Properties=species:S:1:pos:R:3 pbc="T T T"
Mn 0.0000 0.0000 0.0000
Al 2.5273 2.5273 2.1098
Cd 0.0000 2.5273 0.0000
Cd 2.5273 0.0000 0.0000
Ni 0.0000 0.0000 2.1098
```

Computed properties:
Energy of formation: 0.898 eV per atom
Total magnetization: 4.0 μB per cell
Density: 5.6 g/cm³



(7)
Density functional theory data (GGA-PBE) for crystalline Ca2SnIrC at its relaxed geometry.

```
5
Lattice="5.1626 0.0000 0.0000 0.0000 5.1626 0.0000 0.0000 0.0000 3.9092" Properties=species:S:1:pos:R:3 pbc="T T T"
Ca 0.0000 2.5813 0.0000
Ca 2.5813 0.0000 0.0000
Sn 0.0000 0.0000 1.9546
Ir 2.5813 2.5813 1.9546
C 2.5813 2.5813 0.0000
```

Computed properties:
Energy of formation: -0.317 eV per atom
Total magnetization: 0.0 μB per cell
Density: 6.4 g/cm³



(8)
Density functional theory data (GGA-PBE) for crystalline Tb2TiCd at its relaxed geometry.

```
4
Lattice="3.4147 0.0000 0.0000 0.0000 3.4147 0.0000 0.0000 0.0000 8.6825" Properties=species:S:1:pos:R:3 pbc="T T T"
Tb 0.0000 0.0000 2.0874
Tb 0.0000 0.0000 6.5951
Ti 1.7073 1.7073 0.0000
Cd 1.7073 1.7073 4.3412
```

Computed properties:
Energy of formation: -0.029 eV per atom
Total magnetization: 0.0 μB per cell
Density: 7.8 g/cm³



(9)
Density functional theory data (GGA-PBE) for crystalline Cs5Na2Cd12 at its relaxed geometry.

```
19
Lattice="10.0078 -4.1486 0.0000 10.0078 4.1486 0.0000 -0.3119 0.0000 8.5311" Properties=species:S:1:pos:R:3 pbc="T T T"
Cs 0.0000 0.0000 0.0000
Cs 4.5309 0.0000 8.0111
Cs 5.6695 0.0000 3.9342
Cs 14.0342 0.0000 4.5968
Cs 15.1728 0.0000 0.5199
Na 9.8519 1.6902 4.2655
Na 9.8519 -1.6902 4.2655
Cd 7.3679 2.6046 6.1991
Cd 1.8010 0.0000 5.1022
Cd 8.1368 1.4798 1.4378
Cd 12.3358 2.6046 2.3319
Cd 11.5669 1.4798 7.0933
Cd 8.6831 0.0000 7.2064
Cd 11.0206 0.0000 1.3247
Cd 8.1368 -1.4798 1.4378
Cd 7.3679 -2.6046 6.1991
Cd 11.5669 -1.4798 7.0933
Cd 17.9027 0.0000 3.4288
Cd 12.3358 -2.6046 2.3319
```

Computed properties:
Energy of formation: -0.013 eV per atom
Total magnetization: 0.0 μB per cell
Density: 4.8 g/cm³



(10)
Density functional theory data (GGA-PBE) for crystalline NaCr at its relaxed geometry.

```
2
Lattice="3.9677 0.0000 0.0000 0.0000 3.9677 0.0000 0.0000 0.0000 3.2210" Properties=species:S:1:pos:R:3 pbc="T T T"
Na 0.0000 0.0000 0.0000
Cr 1.9838 1.9838 1.6105
```

Computed properties:
Energy of formation: 1.091 eV per atom
Total magnetization: 4.9 μB per cell
Density: 2.5 g/cm³



(11)
Density functional theory data (GGA-PBE) for crystalline ZnCuRu2 at its relaxed geometry.

```
4
Lattice="2.7656 0.0000 0.0000 0.0000 4.4529 0.0000 0.0000 0.0000 4.4863" Properties=species:S:1:pos:R:3 pbc="T T T"
Zn 0.0000 0.0000 0.0000
Cu 1.3828 0.0000 2.2432
Ru 0.0000 2.2265 2.2432
Ru 1.3828 2.2265 0.0000
```

Computed properties:
Energy of formation: 0.244 eV per atom
Total magnetization: 0.6 μB per cell
Density: 10.0 g/cm³



(12)
Density functional theory data (GGA-PBE) for crystalline SmBeInCu at its relaxed geometry.

```
4
Lattice="0.0000 3.3209 3.3209 3.3209 0.0000 3.3209 3.3209 3.3209 0.0000" Properties=species:S:1:pos:R:3 pbc="T T T"
Sm 0.0000 0.0000 0.0000
Be 1.6604 1.6604 1.6604
In 3.3209 3.3209 3.3209
Cu 4.9813 4.9813 4.9813
```

Computed properties:
Energy of formation: -0.136 eV per atom
Total magnetization: 0.0 μB per cell
Density: 7.7 g/cm³



(13)
Density functional theory data (GGA-PBE) for crystalline BaSnHg at its relaxed geometry.

```
3
Lattice="4.9426 0.0000 0.0000 -2.4713 4.2805 0.0000 0.0000 0.0000 5.0238" Properties=species:S:1:pos:R:3 pbc="T T T"
Ba 0.0000 0.0000 0.0000
Sn 2.4713 1.4268 2.5405
Hg 0.0000 2.8536 2.4701
```

Computed properties:
Energy of formation: -0.551 eV per atom
Total magnetization: 0.0 μB per cell
Density: 7.1 g/cm³



(14)
Density functional theory data (GGA-PBE) for crystalline Dy2PaCo4 at its relaxed geometry.

```
7
Lattice="-2.1715 2.1715 6.6944 2.1715 -2.1715 6.6944 2.1715 2.1715 -6.6944" Properties=species:S:1:pos:R:3 pbc="T T T"
Dy 0.0000 0.0000 3.0662
Dy 0.0000 0.0000 10.3227
Pa 0.0000 0.0000 6.6944
Co 2.1715 0.0000 1.3558
Co 2.1715 0.0000 5.3386
Co 0.0000 2.1715 1.3558
Co 0.0000 2.1715 5.3386
```

Computed properties:
Energy of formation: 0.076 eV per atom
Total magnetization: 0.0 μB per cell
Density: 10.4 g/cm³



(15)
Density functional theory data (GGA-PBE) for crystalline BaCoRh3 at its relaxed geometry.

```
5
Lattice="5.0178 0.0000 0.0000 0.0000 5.0178 0.0000 0.0000 0.0000 5.0178" Properties=species:S:1:pos:R:3 pbc="T T T"
Ba 0.0000 0.0000 0.0000
Co 2.5089 2.5089 2.5089
Rh 0.0000 0.0000 2.5089
Rh 0.0000 2.5089 0.0000
Rh 2.5089 0.0000 0.0000
```

Computed properties:
Energy of formation: 2.202 eV per atom
Total magnetization: 2.8 μB per cell
Density: 6.6 g/cm³



(16)
Density functional theory data (GGA-PBE) for crystalline Zr3Be5H12 at its relaxed geometry.

```
80
Lattice="-5.3070 5.3070 5.3070 5.3070 -5.3070 5.3070 5.3070 5.3070 -5.3070" Properties=species:S:1:pos:R:3 pbc="T T T"
Zr 2.6535 1.3267 0.0000
Zr 5.3070 2.6535 -1.3267
Zr 1.3267 0.0000 2.6535
Zr 6.6337 0.0000 2.6535
Zr 0.0000 2.6535 1.3267
Zr 2.6535 -1.3267 5.3070
Zr 2.6535 6.6337 0.0000
Zr 5.3070 2.6535 3.9802
Zr -1.3267 5.3070 2.6535
Zr 3.9802 5.3070 2.6535
Zr 0.0000 2.6535 6.6337
Zr 2.6535 3.9802 5.3070
Be 0.0000 0.0000 0.0000
Be 2.6535 2.6535 -2.6535
Be 2.6535 -2.6535 2.6535
Be 5.3070 0.0000 0.0000
Be 7.9604 1.3267 0.0000
Be 5.3070 -2.6535 3.9802
Be 3.9802 5.3070 -2.6535
Be 3.9802 0.0000 2.6535
Be 2.6535 3.9802 0.0000
Be 5.3070 2.6535 1.3267
Be -2.6535 2.6535 2.6535
Be 0.0000 5.3070 0.0000
Be 0.0000 0.0000 5.3070
Be 2.6535 2.6535 2.6535
Be 0.0000 2.6535 3.9802
Be 2.6535 1.3267 5.3070
Be 1.3267 5.3070 2.6535
Be 1.3267 0.0000 7.9604
Be 0.0000 7.9604 1.3267
Be -2.6535 3.9802 5.3070
H 1.5725 -0.3579 0.5654
H 6.3879 3.2189 -3.0114
H 6.8795 0.3579 0.5654
H 6.3879 -2.0881 3.0114
H 4.9491 -0.5654 1.5725
H 8.3183 -1.0809 2.0881
H 0.5654 1.5725 -0.3579
H 7.3951 2.2956 -1.0809
H 3.2189 3.0114 -1.0809
H 4.7416 1.5725 0.3579
H -0.3579 0.5654 1.5725
H 3.0114 -1.0809 3.2189
H 4.9491 4.7416 -1.5725
H 3.0114 1.0809 2.0881
H 3.2189 -3.0114 6.3879
H 4.7416 -1.5725 4.9491
H 2.0881 3.0114 1.0809
H 5.8723 3.7344 0.3579
H 3.0114 6.3879 -2.0881
H 4.9491 0.5654 3.7344
H 1.5725 4.9491 -0.5654
H 6.3879 2.0881 2.2956
H 1.0809 2.0881 3.0114
H 1.5725 0.3579 4.7416
H 3.7344 4.9491 0.5654
H 4.2260 3.2189 2.2956
H -1.0809 3.2189 3.0114
H 3.7344 0.3579 5.8723
H 0.3579 4.7416 1.5725
H 2.2956 -1.0809 7.3951
H -0.5654 1.5725 4.9491
H 3.2189 2.2956 4.2260
H 0.5654 6.8795 0.3579
H 2.0881 8.3183 -1.0809
H 2.2956 4.2260 3.2189
H 0.3579 0.5654 6.8795
H 2.2956 6.3879 2.0881
H 5.6648 4.7416 3.7344
H 0.5654 3.7344 4.9491
H 2.0881 2.2956 6.3879
H -2.0881 3.0114 6.3879
H 4.7416 3.7344 5.6648
H -3.0114 6.3879 3.2189
H 0.3579 5.8723 3.7344
H -1.0809 7.3951 2.2956
H -1.5725 4.9491 4.7416
H -1.0809 2.0881 8.3183
H 3.7344 5.6648 4.7416
```

Computed properties:
Total magnetization: 0.0 μB per cell
Density: 3.7 g/cm³
E_tot: -4.21 eV per atom



(17)
Density functional theory data (GGA-PBE) for crystalline CaHo2NbN4 at its relaxed geometry.

```
16
Lattice="1.7036 -5.9401 0.0000 1.7036 5.9401 0.0000 0.0000 0.0000 12.1636" Properties=species:S:1:pos:R:3 pbc="T T T"
Ca 1.7036 4.6660 9.1227
Ca 1.7036 -4.6660 3.0409
Ho 1.7036 1.5356 6.4725
Ho 1.7036 1.5356 11.7728
Ho 1.7036 -1.5356 0.3907
Ho 1.7036 -1.5356 5.6910
Nb 1.7036 4.0592 3.0409
Nb 1.7036 -4.0592 9.1227
N 0.0000 0.0000 0.0000
N 0.0000 0.0000 6.0818
N 1.7036 2.8903 1.4688
N 1.7036 2.8903 4.6130
N 1.7036 0.7146 9.1227
N 1.7036 -0.7146 3.0409
N 1.7036 -2.8903 7.5506
N 1.7036 -2.8903 10.6948
```

Computed properties:
Raw formation energy: -1.2317 eV per atom
Total magnetization: 0.0 μB per cell
Density: 7.0 g/cm³



(18)
Density functional theory data (GGA-PBE) for crystalline BiCl2F at its relaxed geometry.

```
4
Lattice="1.9999 1.1547 7.9561 -1.9999 1.1547 7.9561 0.0000 -2.3093 7.9561" Properties=species:S:1:pos:R:3 pbc="T T T"
Bi 0.0000 0.0000 0.0000
Cl 0.0000 0.0000 9.6445
Cl 0.0000 0.0000 14.2238
F 0.0000 0.0000 11.9342
```

Computed properties:
Raw formation energy: -0.5253 eV per atom
Total magnetization: 0.0 μB per cell
Density: 4.5 g/cm³



(19)
Density functional theory data (GGA-PBE) for crystalline TbPaC at its relaxed geometry.

```
18
Lattice="7.4468 0.0000 0.0000 -3.7234 6.4491 0.0000 0.0000 0.0000 7.0109" Properties=species:S:1:pos:R:3 pbc="T T T"
Tb -0.9152 1.5852 0.0000
Tb -0.9152 1.5852 3.5054
Tb 1.8304 0.0000 0.0000
Tb 1.8304 0.0000 3.5054
Tb 2.8082 4.8639 0.0000
Tb 2.8082 4.8639 3.5054
Pa -1.9500 3.7787 1.7527
Pa 1.4260 2.8710 1.7527
Pa 1.7734 2.6704 5.2581
Pa 0.5241 6.2485 1.7527
Pa 4.2474 0.2006 5.2581
Pa 5.1494 3.5781 5.2581
C 0.0000 0.0000 1.7527
C 0.0000 0.0000 5.2581
C 0.0000 4.2994 0.2267
C 0.0000 4.2994 3.2788
C 3.7234 2.1497 3.7321
C 3.7234 2.1497 6.7842
```

Computed properties:
Energy of formation: 0.382 eV per atom
Total magnetization: 0.0 μB per cell
Density: 11.9 g/cm³



(20)
Density functional theory data (GGA-PBE) for crystalline Hf2MnV2 at its relaxed geometry.

```
10
Lattice="6.0559 0.0000 0.0000 0.0000 6.0559 0.0000 0.0000 0.0000 4.5770" Properties=species:S:1:pos:R:3 pbc="T T T"
Hf 1.0171 2.0108 0.0000
Hf 2.0108 5.0388 0.0000
Hf 4.0451 1.0171 0.0000
Hf 5.0388 4.0451 0.0000
Mn 0.0000 0.0000 2.2885
Mn 3.0280 3.0280 2.2885
V 0.9067 3.9347 2.2885
V 2.1212 0.9067 2.2885
V 3.9347 5.1492 2.2885
V 5.1492 2.1212 2.2885
```

Computed properties:
Energy of formation: 0.094 eV per atom
Total magnetization: 0.0 μB per cell
Density: 10.2 g/cm³